Record 1
This record from the Alexandria database describes a relaxed PrNd5Te5 crystal. The functional is PBE.

Computed properties:
Energy in eV/atom: -5.262

Unit cell a=14.0465 b=6.3195 c=8.8981 alpha=90.00 beta=108.45 gamma=90.00
With the nearest neighbours (Å) after each atom.
Space group C2/m (No. 12)
Inequivalent atoms, fractional coordinates:
Pr 0.0000 0.0000 0.0000  6 Te 3.15-3.20
Nd 0.0000 0.0000 0.5000  4 Te 3.12-3.19
Nd 0.1643 0.5000 0.3370  5 Te 3.13-3.16
Nd 0.1646 0.5000 0.8266  5 Te 3.14-3.16
Te 0.0000 0.5000 0.0000  4 Nd 3.15-3.16, 2 Pr 3.16
Te 0.1663 0.0000 0.3354  5 Nd 3.12-3.16, 1 Pr 3.15
Te 0.1721 0.0000 0.8349  5 Nd 3.14-3.19, 1 Pr 3.20


Record 2
This record from the Alexandria database describes a relaxed PrNdTe2 crystal. The functional is PBE.

Computed properties:
Excess energy over the best structure of this formula in the dataset in meV/atom: 0

Unit cell a=4.3778 b=4.3778 c=23.6627 alpha=90.00 beta=90.00 gamma=120.00
With the nearest neighbours (Å) after each atom.
Space group R3m (No. 160, hexagonal axes)
Inequivalent atoms, fractional coordinates:
Pr 0.0000 0.0000 0.0000  6 Te 3.15-3.27
Nd 0.0000 0.0000 0.8248  6 Te 3.14-3.27
Te 0.0000 0.0000 0.4125  3 Nd 3.14, 3 Pr 3.15
Te 0.0000 0.0000 0.5790  3 Nd 3.27, 3 Pr 3.27


Record 3
This record from the Alexandria database describes a relaxed Pr2NdTe crystal. The functional is PBE.

Computed properties:
Excess energy over the best structure of this formula in the dataset in meV/atom: 145

Unit cell a=4.9563 b=4.9563 c=4.9289 alpha=90.00 beta=90.00 gamma=90.00
With the nearest neighbours (Å) after each atom.
Space group P4/mmm (No. 123)
Inequivalent atoms, fractional coordinates:
Pr 0.0000 0.5000 0.0000  4 Te 3.49, 4 Nd 3.49, 4 Pr 3.50
Nd 0.0000 0.0000 0.5000  8 Pr 3.49, 4 Te 3.50
Te 0.5000 0.5000 0.5000  8 Pr 3.49, 4 Nd 3.50


Record 4
This record from the Alexandria database describes a relaxed PrNd2Te4 crystal. The functional is PBE.

Computed properties:
Excess energy over the best structure of this formula in the dataset in meV/atom: 0

Unit cell a=4.3831 b=14.8119 c=15.3522 alpha=90.00 beta=90.00 gamma=90.00
With the nearest neighbours (Å) after each atom.
Space group Cmcm (No. 63)
Inequivalent atoms, fractional coordinates:
Pr 0.0000 0.1255 0.2500  6 Te 3.21-3.26
Nd 0.0000 0.3685 0.0687  6 Te 3.12-3.24
Te 0.0000 0.0000 0.0000  4 Nd 3.12
Te 0.0000 0.2782 0.6234  3 Nd 3.20-3.24, 2 Pr 3.26
Te 0.0000 0.4670 0.2500  2 Nd 3.14, 2 Pr 3.21


The evaluated M_tot for the records listed, in turn: 0.00 0.00 0.00 0.00 Bohr magnetons per cell.